Entry 1:
The following is a DFT calculation (PBE-GGA) of an optimized crystal structure of SrMnP2Rh.

Properties
Total magnetic moment: 0.00 μB per cell
Calculated volume: 89.6 Å³/f.u.
Space group: No. 119
Electronic total energy: -6.6767 eV/atom
Formation energy: -84.2 kJ/mol of atoms

abc: 6.355 6.355 6.355
angles: 143.66 143.66 52.33
Element x y z (fractional)
Sr 0.000 0.000 0.000
Mn 0.750 0.250 0.500
P 0.351 0.351 0.000
P 0.649 0.649 0.000
Rh 0.250 0.750 0.500

***

Entry 2:
The following is a DFT calculation (PBE-GGA) of an optimized crystal structure of Tb2MnP3Rh12.

Properties
Total magnetic moment: 4.80 μB per cell
Calculated volume: 290.2 Å³/f.u.
Space group: No. 166
Electronic total energy: -7.0975 eV/atom
Formation energy: -26.1 kJ/mol of atoms

abc: 6.669 6.669 6.669
angles: 82.84 82.84 82.84
Element x y z (fractional)
Tb 0.125 0.125 0.125
Tb 0.875 0.875 0.875
Mn 0.500 0.500 0.500
P 0.000 0.500 0.500
P 0.500 0.000 0.500
P 0.500 0.500 0.000
Rh 0.132 0.132 0.591
Rh 0.132 0.591 0.132
Rh 0.170 0.674 0.674
Rh 0.326 0.326 0.830
Rh 0.326 0.830 0.326
Rh 0.409 0.868 0.868
Rh 0.591 0.132 0.132
Rh 0.674 0.170 0.674
Rh 0.674 0.674 0.170
Rh 0.830 0.326 0.326
Rh 0.868 0.409 0.868
Rh 0.868 0.868 0.409

***

Entry 3:
The following is a DFT calculation (PBE-GGA) of an optimized crystal structure of Tb2MnP3Rh4.

Properties
Total magnetic moment: 3.41 μB per cell
Calculated volume: 163.2 Å³/f.u.
Space group: No. 115
Electronic total energy: -7.3773 eV/atom
Formation energy: -93.7 kJ/mol of atoms

abc: 4.021 4.021 10.098
angles: 90.00 90.00 90.00
Element x y z (fractional)
Tb 0.000 0.500 0.248
Tb 0.500 0.000 0.752
Mn 0.000 0.000 0.500
P 0.000 0.500 0.864
P 0.500 0.000 0.136
P 0.500 0.500 0.500
Rh 0.000 0.000 0.000
Rh 0.000 0.500 0.638
Rh 0.500 0.000 0.362
Rh 0.500 0.500 0.000

***

Entry 4:
The following is a DFT calculation (PBE-GGA) of an optimized crystal structure of MnTcPRh.

Properties
Total magnetic moment: 3.95 μB per cell
Calculated volume: 52.7 Å³/f.u.
Space group: No. 216
Electronic total energy: -8.3391 eV/atom
Formation energy: -25.6 kJ/mol of atoms

abc: 4.210 4.210 4.210
angles: 60.00 60.00 60.00
Element x y z (fractional)
Mn 0.000 0.000 0.000
Tc 0.750 0.750 0.750
P 0.500 0.500 0.500
Rh 0.250 0.250 0.250

***

Entry 5:
The following is a DFT calculation (PBE-GGA) of an optimized crystal structure of Th2MnP3Rh12.

Properties
Total magnetic moment: 3.39 μB per cell
Calculated volume: 312.6 Å³/f.u.
Space group: No. 166
Electronic total energy: -7.4822 eV/atom
Formation energy: -33.4 kJ/mol of atoms

abc: 7.022 7.022 7.022
angles: 74.07 74.07 74.07
Element x y z (fractional)
Th 0.111 0.111 0.111
Th 0.889 0.889 0.889
Mn 0.500 0.500 0.500
P 0.000 0.500 0.500
P 0.500 0.000 0.500
P 0.500 0.500 0.000
Rh 0.136 0.651 0.651
Rh 0.166 0.166 0.593
Rh 0.166 0.593 0.166
Rh 0.349 0.349 0.864
Rh 0.349 0.864 0.349
Rh 0.407 0.834 0.834
Rh 0.593 0.166 0.166
Rh 0.651 0.136 0.651
Rh 0.651 0.651 0.136
Rh 0.834 0.407 0.834
Rh 0.834 0.834 0.407
Rh 0.864 0.349 0.349

***

Entry 6:
The following is a DFT calculation (PBE-GGA) of an optimized crystal structure of Tm3MnP2Rh9.

Properties
Total magnetic moment: 3.04 μB per cell
Calculated volume: 268.4 Å³/f.u.
Space group: No. 164
Electronic total energy: -7.1731 eV/atom
Formation energy: -51.7 kJ/mol of atoms

abc: 6.003 6.003 8.601
angles: 90.00 90.00 120.00
Element x y z (fractional)
Tm 0.000 0.000 0.000
Tm 0.333 0.667 0.648
Tm 0.667 0.333 0.352
Mn 0.000 0.000 0.500
P 0.333 0.667 0.165
P 0.667 0.333 0.835
Rh 0.000 0.500 0.000
Rh 0.153 0.306 0.291
Rh 0.153 0.847 0.291
Rh 0.306 0.153 0.709
Rh 0.500 0.000 0.000
Rh 0.500 0.500 0.000
Rh 0.694 0.847 0.291
Rh 0.847 0.153 0.709
Rh 0.847 0.694 0.709

***

Entry 7:
The following is a DFT calculation (PBE-GGA) of an optimized crystal structure of UMnP2Rh.

Properties
Total magnetic moment: 1.36 μB per cell
Calculated volume: 74.1 Å³/f.u.
Space group: No. 119
Electronic total energy: -8.4788 eV/atom
Formation energy: -72.7 kJ/mol of atoms

abc: 5.578 5.578 5.578
angles: 138.96 138.96 59.44
Element x y z (fractional)
U 0.000 0.000 0.000
Mn 0.250 0.750 0.500
P 0.381 0.381 0.000
P 0.619 0.619 0.000
Rh 0.750 0.250 0.500

***

Entry 8:
The following is a DFT calculation (PBE-GGA) of an optimized crystal structure of Y3MnP2Rh9.

Properties
Total magnetic moment: 3.02 μB per cell
Calculated volume: 271.7 Å³/f.u.
Space group: No. 164
Electronic total energy: -7.5727 eV/atom
Formation energy: -51.8 kJ/mol of atoms

abc: 6.010 6.010 8.687
angles: 90.00 90.00 120.00
Element x y z (fractional)
Y 0.000 0.000 0.000
Y 0.333 0.667 0.636
Y 0.667 0.333 0.364
Mn 0.000 0.000 0.500
P 0.333 0.667 0.164
P 0.667 0.333 0.836
Rh 0.000 0.500 0.000
Rh 0.154 0.308 0.292
Rh 0.154 0.846 0.292
Rh 0.308 0.154 0.708
Rh 0.500 0.000 0.000
Rh 0.500 0.500 0.000
Rh 0.692 0.846 0.292
Rh 0.846 0.154 0.708
Rh 0.846 0.692 0.708

***

Entry 9:
The following is a DFT calculation (PBE-GGA) of an optimized crystal structure of Y2MnP3Rh4.

Properties
Total magnetic moment: 3.37 μB per cell
Calculated volume: 162.9 Å³/f.u.
Space group: No. 115
Electronic total energy: -7.7407 eV/atom
Formation energy: -93.3 kJ/mol of atoms

abc: 4.014 4.014 10.111
angles: 90.00 90.00 90.00
Element x y z (fractional)
Y 0.000 0.500 0.247
Y 0.500 0.000 0.753
Mn 0.000 0.000 0.500
P 0.000 0.500 0.863
P 0.500 0.000 0.137
P 0.500 0.500 0.500
Rh 0.000 0.000 0.000
Rh 0.000 0.500 0.638
Rh 0.500 0.000 0.362
Rh 0.500 0.500 0.000

***

Entry 10:
The following is a DFT calculation (PBE-GGA) of an optimized crystal structure of YMnP2Rh5.

Properties
Total magnetic moment: 4.25 μB per cell
Calculated volume: 178.9 Å³/f.u.
Space group: No. 123
Electronic total energy: -7.3452 eV/atom
Formation energy: -31.1 kJ/mol of atoms

abc: 4.342 4.342 9.487
angles: 90.00 90.00 90.00
Element x y z (fractional)
Y 0.000 0.000 0.000
Mn 0.500 0.500 0.500
P 0.500 0.500 0.262
P 0.500 0.500 0.738
Rh 0.000 0.500 0.210
Rh 0.000 0.500 0.790
Rh 0.500 0.000 0.210
Rh 0.500 0.000 0.790
Rh 0.500 0.500 0.000

***

Entry 11:
The following is a DFT calculation (PBE-GGA) of an optimized crystal structure of MnP3Ru.

Properties
Total magnetic moment: 0.00 μB per cell
Calculated volume: 78.5 Å³/f.u.
Space group: No. 221
Energy relative to the lowest polymorph listed for this composition: 0 meV/atom
Electronic total energy: -6.1806 eV/atom
Formation energy: 72.8 kJ/mol of atoms

abc: 4.282 4.282 4.282
angles: 90.00 90.00 90.00
Element x y z (fractional)
Mn 0.000 0.000 0.000
P 0.000 0.000 0.500
P 0.000 0.500 0.000
P 0.500 0.000 0.000
Ru 0.500 0.500 0.500

***

Entry 12:
The following is a DFT calculation (PBE-GGA) of an optimized crystal structure of Mn2PRu.

Properties
Total magnetic moment: 2.91 μB per cell
Calculated volume: 48.4 Å³/f.u.
Space group: No. 99
Energy relative to the lowest polymorph listed for this composition: 91 meV/atom
Electronic total energy: -8.4438 eV/atom
Formation energy: -18.1 kJ/mol of atoms

abc: 2.879 2.879 5.842
angles: 90.00 90.00 90.00
Element x y z (fractional)
Mn 0.000 0.000 0.000
Mn 0.500 0.500 0.258
P 0.000 0.000 0.466
Ru 0.500 0.500 0.713

***

Entry 13:
The following is a DFT calculation (PBE-GGA) of an optimized crystal structure of Mn2PRu.

Properties
Total magnetic moment: 5.64 μB per cell
Calculated volume: 51.5 Å³/f.u.
Space group: No. 65
Energy relative to the lowest polymorph listed for this composition: 209 meV/atom
Electronic total energy: -8.3258 eV/atom
Formation energy: -6.7 kJ/mol of atoms

abc: 4.379 4.379 2.887
angles: 90.00 90.00 111.59
Element x y z (fractional)
Mn 0.000 0.500 0.000
Mn 0.500 0.000 0.000
P 0.000 0.000 0.500
Ru 0.500 0.500 0.500

***

Entry 14:
The following is a DFT calculation (PBE-GGA) of an optimized crystal structure of Mn2PRu.

Properties
Total magnetic moment: 0.00 μB per cell
Calculated volume: 47.1 Å³/f.u.
Space group: No. 166
Energy relative to the lowest polymorph listed for this composition: 254 meV/atom
Electronic total energy: -8.2813 eV/atom
Formation energy: -2.4 kJ/mol of atoms

abc: 7.913 7.913 7.913
angles: 19.26 19.26 19.26
Element x y z (fractional)
Mn 0.243 0.243 0.243
Mn 0.757 0.757 0.757
P 0.500 0.500 0.500
Ru 0.000 0.000 0.000

***

Entry 15:
The following is a DFT calculation (PBE-GGA) of an optimized crystal structure of Mn2PRu.

Properties
Total magnetic moment: 0.00 μB per cell
Calculated volume: 46.2 Å³/f.u.
Space group: No. 71
Energy relative to the lowest polymorph listed for this composition: 53 meV/atom
Electronic total energy: -8.4821 eV/atom
Formation energy: -21.8 kJ/mol of atoms

abc: 4.782 4.782 4.782
angles: 146.52 129.33 62.11
Element x y z (fractional)
Mn 0.221 0.221 0.000
Mn 0.779 0.779 0.000
P 0.000 0.500 0.500
Ru 0.500 0.000 0.500

***

Entry 16:
The following is a DFT calculation (PBE-GGA) of an optimized crystal structure of Mn2PRu.

Properties
Total magnetic moment: 2.81 μB per cell
Calculated volume: 48.1 Å³/f.u.
Space group: No. 47
Energy relative to the lowest polymorph listed for this composition: 95 meV/atom
Electronic total energy: -8.4399 eV/atom
Formation energy: -17.7 kJ/mol of atoms

abc: 2.939 4.037 4.055
angles: 90.00 90.00 90.00
Element x y z (fractional)
Mn 0.000 0.000 0.000
Mn 0.500 0.500 0.000
P 0.000 0.500 0.500
Ru 0.500 0.000 0.500

***

Entry 17:
The following is a DFT calculation (PBE-GGA) of an optimized crystal structure of Mn2PRu.

Properties
Total magnetic moment: 0.01 μB per cell
Calculated volume: 47.1 Å³/f.u.
Space group: No. 10
Energy relative to the lowest polymorph listed for this composition: 188 meV/atom
Electronic total energy: -8.3470 eV/atom
Formation energy: -8.8 kJ/mol of atoms

abc: 2.666 3.720 4.881
angles: 90.00 103.42 90.00
Element x y z (fractional)
Mn 0.120 0.000 0.269
Mn 0.880 0.000 0.731
P 0.500 0.500 0.500
Ru 0.500 0.500 0.000

***

Entry 18:
The following is a DFT calculation (PBE-GGA) of an optimized crystal structure of Mn2PRu.

Properties
Total magnetic moment: 3.12 μB per cell
Calculated volume: 47.8 Å³/f.u.
Space group: No. 139
Energy relative to the lowest polymorph listed for this composition: 180 meV/atom
Electronic total energy: -8.3555 eV/atom
Formation energy: -9.6 kJ/mol of atoms

abc: 4.528 4.528 4.528
angles: 133.64 133.64 67.66
Element x y z (fractional)
Mn 0.250 0.750 0.500
Mn 0.750 0.250 0.500
P 0.000 0.000 0.000
Ru 0.500 0.500 0.000

***

Entry 19:
The following is a DFT calculation (PBE-GGA) of an optimized crystal structure of MnPRu3.

Properties
Total magnetic moment: 0.07 μB per cell
Calculated volume: 78.9 Å³/f.u.
Space group: No. 221
Energy relative to the lowest polymorph listed for this composition: 0 meV/atom
Electronic total energy: -7.6790 eV/atom
Formation energy: 77.4 kJ/mol of atoms

abc: 4.289 4.289 4.289
angles: 90.00 90.00 90.00
Element x y z (fractional)
Mn 0.000 0.000 0.000
P 0.500 0.500 0.500
Ru 0.000 0.500 0.500
Ru 0.500 0.000 0.500
Ru 0.500 0.500 0.000

***

Entry 20:
The following is a DFT calculation (PBE-GGA) of an optimized crystal structure of Mn2PRu.

Properties
Total magnetic moment: 2.99 μB per cell
Calculated volume: 47.6 Å³/f.u.
Space group: No. 216
Energy relative to the lowest polymorph listed for this composition: 58 meV/atom
Electronic total energy: -8.4773 eV/atom
Formation energy: -21.3 kJ/mol of atoms

abc: 4.067 4.067 4.067
angles: 60.00 60.00 60.00
Element x y z (fractional)
Mn 0.000 0.000 0.000
Mn 0.250 0.250 0.250
P 0.750 0.750 0.750
Ru 0.500 0.500 0.500